(1)
First-principles (GGA-PBE) data for a relaxed structure of La2PmAu, as listed in Alexandria.

Results
Its formation energy is -0.399 eV per atom.

Geometry as CIF:
```
data_La2PmAu
_chemical_formula_sum 'La8 Pm4 Au4'
_cell_length_a 7.3058
_cell_length_b 10.5213
_cell_length_c 6.7376
_cell_angle_alpha 90.00
_cell_angle_beta 90.00
_cell_angle_gamma 90.00
_symmetry_space_group_name_H-M 'P n m a'
_symmetry_Int_Tables_number 62
loop_
_symmetry_equiv_pos_as_xyz
'x,y,z'
'-x,-y,-z'
'-x+1/2,-y,z+1/2'
'x+1/2,y,-z+1/2'
'x+1/2,-y+1/2,-z+1/2'
'-x+1/2,y+1/2,z+1/2'
'-x,y+1/2,-z'
'x,-y+1/2,z'
loop_
_atom_site_label
_atom_site_fract_x
_atom_site_fract_y
_atom_site_fract_z
La1 0.1955 0.0529 0.1715
Pm1 0.0211 0.2500 0.6405
Au1 0.1050 0.7500 0.9293
```

---

(2)
First-principles (GGA-PBE) data for a relaxed structure of La3PmAu, as listed in Alexandria.

Results
Its formation energy is -0.197 eV per atom.

Geometry as CIF:
```
data_La3PmAu
_chemical_formula_sum 'La12 Pm4 Au4'
_cell_length_a 7.8523
_cell_length_b 16.0571
_cell_length_c 5.4540
_cell_angle_alpha 90.00
_cell_angle_beta 90.00
_cell_angle_gamma 90.00
_symmetry_space_group_name_H-M 'C m c m'
_symmetry_Int_Tables_number 63
_symmetry_space_group_name_Hall '-C 2c 2'
loop_
_atom_site_label
_atom_site_fract_x
_atom_site_fract_y
_atom_site_fract_z
La1 0.0000 0.0814 0.2500
La2 0.2140 0.3421 0.2500
Pm1 0.0000 0.4538 0.7500
Au1 0.0000 0.2747 0.7500
```

---

(3)
First-principles (GGA-PBE) data for a relaxed structure of La2PmAu3, as listed in Alexandria.

Results
Its formation energy is -0.779 eV per atom.

Geometry as CIF:
```
data_La2PmAu3
_chemical_formula_sum 'La8 Pm4 Au12'
_cell_length_a 5.3216
_cell_length_b 15.9778
_cell_length_c 7.4556
_cell_angle_alpha 90.00
_cell_angle_beta 90.00
_cell_angle_gamma 90.00
_symmetry_space_group_name_H-M 'C m m m'
_symmetry_Int_Tables_number 65
_symmetry_space_group_name_Hall '-C 2 2'
loop_
_atom_site_label
_atom_site_fract_x
_atom_site_fract_y
_atom_site_fract_z
La1 0.0000 0.0000 0.0000
La2 0.0000 0.0000 0.5000
La3 0.0000 0.3340 0.0000
Pm1 0.0000 0.3330 0.5000
Au1 0.0000 0.1697 0.2608
Au2 0.0000 0.5000 0.2552
```

---

(4)
First-principles (GGA-PBE) data for a relaxed structure of LaPm4Au5, as listed in Alexandria.

Results
Its formation energy is -0.784 eV per atom.

Geometry as CIF:
```
data_LaPm4Au5
_chemical_formula_sum 'La1 Pm4 Au5'
_cell_length_a 3.6872
_cell_length_b 3.6872
_cell_length_c 18.7837
_cell_angle_alpha 90.00
_cell_angle_beta 90.00
_cell_angle_gamma 90.00
_symmetry_space_group_name_H-M 'P 4/m m m'
_symmetry_Int_Tables_number 123
_symmetry_space_group_name_Hall '-P 4 2'
loop_
_atom_site_label
_atom_site_fract_x
_atom_site_fract_y
_atom_site_fract_z
La1 0.0000 0.0000 0.0000
Pm1 0.0000 0.0000 0.2029
Pm2 0.0000 0.0000 0.4010
Au1 0.5000 0.5000 0.1067
Au2 0.5000 0.5000 0.3018
Au3 0.5000 0.5000 0.5000
```

---

(5)
First-principles (GGA-PBE) data for a relaxed structure of La3Pm4Au4, as listed in Alexandria.

Results
Its formation energy is -0.549 eV per atom.

Geometry as CIF:
```
data_La3Pm4Au4
_chemical_formula_sum 'La6 Pm8 Au8'
_cell_length_a 5.0008
_cell_length_b 7.8724
_cell_length_c 16.3387
_cell_angle_alpha 90.00
_cell_angle_beta 90.00
_cell_angle_gamma 90.00
_symmetry_space_group_name_H-M 'I m m m'
_symmetry_Int_Tables_number 71
_symmetry_space_group_name_Hall '-I 2 2'
loop_
_atom_site_label
_atom_site_fract_x
_atom_site_fract_y
_atom_site_fract_z
La1 0.0000 0.0000 0.0000
La2 0.0000 0.5000 0.0993
Pm1 0.0000 0.2808 0.3274
Au1 0.0000 0.0000 0.2015
Au2 0.0000 0.1904 0.5000
```

---

(6)
First-principles (GGA-PBE) data for a relaxed structure of La2PmAu, as listed in Alexandria.

Results
Its formation energy is -0.266 eV per atom.

Geometry as CIF:
```
data_La2PmAu
_chemical_formula_sum 'La6 Pm3 Au3'
_cell_length_a 3.9098
_cell_length_b 3.9098
_cell_length_c 30.3789
_cell_angle_alpha 90.00
_cell_angle_beta 90.00
_cell_angle_gamma 120.00
_symmetry_space_group_name_H-M 'R 3 m'
_symmetry_Int_Tables_number 160
_symmetry_space_group_name_Hall 'R 3 -2"'
loop_
_atom_site_label
_atom_site_fract_x
_atom_site_fract_y
_atom_site_fract_z
La1 0.0000 0.0000 0.0000
La2 0.0000 0.0000 0.1927
Pm1 0.0000 0.0000 0.7639
Au1 0.0000 0.0000 0.5960
```

---

(7)
First-principles (GGA-PBE) data for a relaxed structure of La4PmPr2Au2, as listed in Alexandria.

Results
Its formation energy is -0.251 eV per atom.

Geometry as CIF:
```
data_La4PmPr2Au2
_chemical_formula_sum 'La4 Pm1 Pr2 Au2'
_cell_length_a 6.3539
_cell_length_b 6.9216
_cell_length_c 8.0586
_cell_angle_alpha 65.46
_cell_angle_beta 80.61
_cell_angle_gamma 64.76
_symmetry_space_group_name_H-M 'P -1'
_symmetry_Int_Tables_number 2
loop_
_symmetry_equiv_pos_as_xyz
'x,y,z'
'-x,-y,-z'
loop_
_atom_site_label
_atom_site_fract_x
_atom_site_fract_y
_atom_site_fract_z
La1 0.0859 0.2477 0.2380
La2 0.2118 0.6553 0.3684
Pm1 0.5000 0.5000 0.0000
Pr1 0.3023 0.1384 0.8189
Au1 0.3923 0.8271 0.5951
```

---

(8)
First-principles (GGA-PBE) data for a relaxed structure of LaPmRhAu, as listed in Alexandria.

Results
Its formation energy is -0.703 eV per atom.

Geometry as CIF:
```
data_LaPmRhAu
_chemical_formula_sum 'La4 Pm4 Rh4 Au4'
_cell_length_a 7.3012
_cell_length_b 7.3012
_cell_length_c 7.3012
_cell_angle_alpha 90.00
_cell_angle_beta 90.00
_cell_angle_gamma 90.00
_symmetry_space_group_name_H-M 'F -4 3 m'
_symmetry_Int_Tables_number 216
_symmetry_space_group_name_Hall 'F -4 2 3'
loop_
_atom_site_label
_atom_site_fract_x
_atom_site_fract_y
_atom_site_fract_z
La1 0.0000 0.0000 0.0000
Pm1 0.0000 0.0000 0.5000
Rh1 0.2500 0.2500 0.2500
Au1 0.2500 0.2500 0.7500
```

---

(9)
First-principles (GGA-PBE) data for a relaxed structure of LaPmRhAu, as listed in Alexandria.

Results
Its formation energy is -0.786 eV per atom.

Geometry as CIF:
```
data_LaPmRhAu
_chemical_formula_sum 'La2 Pm2 Rh2 Au2'
_cell_length_a 4.4999
_cell_length_b 4.0151
_cell_length_c 11.1144
_cell_angle_alpha 90.00
_cell_angle_beta 90.00
_cell_angle_gamma 90.00
_symmetry_space_group_name_H-M 'A m m 2'
_symmetry_Int_Tables_number 38
loop_
_symmetry_equiv_pos_as_xyz
'x,y,z'
'-x,-y,z'
'-x,y,z'
'x,-y,z'
'x,y+1/2,z+1/2'
'-x,-y+1/2,z+1/2'
'-x,y+1/2,z+1/2'
'x,-y+1/2,z+1/2'
loop_
_atom_site_label
_atom_site_fract_x
_atom_site_fract_y
_atom_site_fract_z
La1 0.0000 0.0000 0.0000
Pm1 0.5000 0.0000 0.2779
Rh1 0.5000 0.0000 0.5399
Au1 0.0000 0.0000 0.7187
```

---

(10)
First-principles (GGA-PBE) data for a relaxed structure of LaPm2RuAu, as listed in Alexandria.

Results
Its formation energy is -0.242 eV per atom.

Geometry as CIF:
```
data_LaPm2RuAu
_chemical_formula_sum 'La1 Pm2 Ru1 Au1'
_cell_length_a 5.3854
_cell_length_b 5.3854
_cell_length_c 5.6130
_cell_angle_alpha 90.00
_cell_angle_beta 90.00
_cell_angle_gamma 90.00
_symmetry_space_group_name_H-M 'P 4 m m'
_symmetry_Int_Tables_number 99
loop_
_symmetry_equiv_pos_as_xyz
'x,y,z'
'-y,x,z'
'-x,-y,z'
'y,-x,z'
'-x,y,z'
'y,x,z'
'x,-y,z'
'-y,-x,z'
loop_
_atom_site_label
_atom_site_fract_x
_atom_site_fract_y
_atom_site_fract_z
La1 0.0000 0.0000 0.0000
Pm1 0.0000 0.5000 0.4640
Ru1 0.0000 0.0000 0.5514
Au1 0.5000 0.5000 0.1706
```

---

(11)
First-principles (GGA-PBE) data for a relaxed structure of La2PmRuAu, as listed in Alexandria.

Results
Its formation energy is -0.256 eV per atom.

Geometry as CIF:
```
data_La2PmRuAu
_chemical_formula_sum 'La2 Pm1 Ru1 Au1'
_cell_length_a 5.4187
_cell_length_b 5.4187
_cell_length_c 5.5981
_cell_angle_alpha 90.00
_cell_angle_beta 90.00
_cell_angle_gamma 90.00
_symmetry_space_group_name_H-M 'P 4 m m'
_symmetry_Int_Tables_number 99
loop_
_symmetry_equiv_pos_as_xyz
'x,y,z'
'-y,x,z'
'-x,-y,z'
'y,-x,z'
'-x,y,z'
'y,x,z'
'x,-y,z'
'-y,-x,z'
loop_
_atom_site_label
_atom_site_fract_x
_atom_site_fract_y
_atom_site_fract_z
La1 0.0000 0.5000 0.0000
Pm1 0.0000 0.0000 0.5330
Ru1 0.0000 0.0000 0.0484
Au1 0.5000 0.5000 0.6753
```

---

(12)
First-principles (GGA-PBE) data for a relaxed structure of LaPmSbAu, as listed in Alexandria.

Results
The uncorrected formation energy comes out at -19.51 kcal/mol of atoms.

Geometry as CIF:
```
data_LaPmSbAu
_chemical_formula_sum 'La4 Pm4 Sb4 Au4'
_cell_length_a 7.6447
_cell_length_b 7.6447
_cell_length_c 7.6447
_cell_angle_alpha 90.00
_cell_angle_beta 90.00
_cell_angle_gamma 90.00
_symmetry_space_group_name_H-M 'F -4 3 m'
_symmetry_Int_Tables_number 216
_symmetry_space_group_name_Hall 'F -4 2 3'
loop_
_atom_site_label
_atom_site_fract_x
_atom_site_fract_y
_atom_site_fract_z
La1 0.0000 0.0000 0.0000
Pm1 0.0000 0.0000 0.5000
Sb1 0.2500 0.2500 0.2500
Au1 0.2500 0.2500 0.7500
```

---

Number 1: magnetic moment 0.000 μB/atom, final energy -4.870 eV per atom, DOS at the Fermi energy 1.0731 states/eV/atom. Number 2: magnetic moment 0.000 μB/atom, final energy -4.759 eV per atom, DOS at the Fermi energy 1.3336 states/eV/atom. Number 3: magnetic moment 0.000 μB/atom, final energy -4.852 eV per atom, DOS at the Fermi energy 0.8739 states/eV/atom. Number 4: magnetic moment 0.000 μB/atom, final energy -4.816 eV per atom, DOS at the Fermi energy 0.6830 states/eV/atom. Number 5: magnetic moment 0.000 μB/atom, final energy -4.812 eV per atom, DOS at the Fermi energy 0.8484 states/eV/atom. Number 6: magnetic moment 0.000 μB/atom, final energy -4.737 eV per atom, DOS at the Fermi energy 1.1901 states/eV/atom. Number 7: magnetic moment 0.000 μB/atom, final energy -4.759 eV per atom, DOS at the Fermi energy 1.4007 states/eV/atom. Number 8: magnetic moment 0.000 μB/atom, final energy -5.779 eV per atom, DOS at the Fermi energy 1.0863 states/eV/atom. Number 9: magnetic moment 0.000 μB/atom, final energy -5.862 eV per atom, DOS at the Fermi energy 0.7370 states/eV/atom. Number 10: magnetic moment 0.000 μB/atom, final energy -5.638 eV per atom, DOS at the Fermi energy 0.9211 states/eV/atom. Number 11: magnetic moment 0.000 μB/atom, final energy -5.688 eV per atom, DOS at the Fermi energy 0.8589 states/eV/atom. Number 12: magnetic moment 0.000 μB/atom, final energy -5.115 eV per atom, DOS at the Fermi energy 1.3190 states/eV/atom.